Record 1
A relaxed structure of BeSbAu2. Source: Alexandria via LeMat-Bulk, functional PBE-GGA.

a = 4.345 Å, b = 4.345 Å, c = 4.134 Å
α = 83.37°, β = 83.37°, γ = 101.41°
Element x y z (fractional)
Au (0.000, 0.000, 0.000)
Au (0.500, 0.500, 0.000)
Be (0.500, 0.000, 0.500)
Sb (0.000, 0.500, 0.500)

Calculated values
- Fermi-level density of states: 1.0 states/eV per cell
- Polymorph energy (0 for the lowest one): 271 meV per atom
- Energy: -13.4 eV per cell

Record 2
A relaxed structure of BeSbAu4. Source: Alexandria via LeMat-Bulk, functional PBE-GGA.

a = 5.530 Å, b = 5.530 Å, c = 5.530 Å
α = 60.00°, β = 60.00°, γ = 60.00°
Element x y z (fractional)
Be (0.750, 0.750, 0.750)
Au (0.375, 0.874, 0.375)
Au (0.375, 0.375, 0.375)
Au (0.874, 0.375, 0.375)
Au (0.375, 0.375, 0.874)
Sb (0.000, 0.000, 0.000)

Calculated values
- Fermi-level density of states: 3.7 states/eV per cell
- Energy: -18.7 eV per cell

Record 3
A relaxed structure of Be2SbAu. Source: Alexandria via LeMat-Bulk, functional PBE-GGA.

a = 7.030 Å, b = 7.030 Å, c = 7.030 Å
α = 27.37°, β = 27.37°, γ = 27.37°
Element x y z (fractional)
Be (0.010, 0.010, 0.010)
Be (0.490, 0.490, 0.490)
Sb (0.250, 0.250, 0.250)
Au (0.750, 0.750, 0.750)

Calculated values
- Fermi-level density of states: 1.0 states/eV per cell
- Energy: -13.6 eV per cell

Record 4
A relaxed structure of Be2SbAu. Source: Alexandria via LeMat-Bulk, functional PBE-GGA.

a = 3.025 Å, b = 3.296 Å, c = 6.464 Å
α = 90.00°, β = 90.00°, γ = 90.00°
Element x y z (fractional)
Au (0.500, 0.500, 0.750)
Be (0.000, 0.000, 0.573)
Be (0.000, 0.000, 0.927)
Sb (0.500, 0.500, 0.250)

Calculated values
- Fermi-level density of states: 1.4 states/eV per cell
- Energy: -13.6 eV per cell

Record 5
A relaxed structure of BeSbAu2. Source: Alexandria via LeMat-Bulk, functional PBE-GGA.

a = 3.937 Å, b = 3.937 Å, c = 5.631 Å
α = 89.98°, β = 89.98°, γ = 60.05°
Element x y z (fractional)
Au (0.708, 0.708, 0.586)
Au (0.042, 0.042, 0.914)
Sb (0.375, 0.375, 0.250)
Be (0.375, 0.375, 0.750)

Calculated values
- Fermi-level density of states: 1.3 states/eV per cell
- Polymorph energy (0 for the lowest one): 0 meV per atom
- Energy: -14.5 eV per cell

Record 6
A relaxed structure of BeSbAu2. Source: Alexandria via LeMat-Bulk, functional PBE-GGA.

a = 5.155 Å, b = 5.155 Å, c = 5.155 Å
α = 132.59°, β = 132.59°, γ = 69.30°
Element x y z (fractional)
Au (0.250, 0.750, 0.500)
Au (0.000, 0.000, 0.000)
Sb (0.750, 0.250, 0.500)
Be (0.500, 0.500, 0.000)

Calculated values
- Fermi-level density of states: 1.3 states/eV per cell
- Polymorph energy (0 for the lowest one): 295 meV per atom
- Energy: -13.3 eV per cell

Record 7
A relaxed structure of Be2SbAu. Source: Alexandria via LeMat-Bulk, functional PBE-GGA.

a = 6.324 Å, b = 6.324 Å, c = 6.324 Å
α = 152.08°, β = 145.48°, γ = 44.97°
Element x y z (fractional)
Be (0.079, 0.079, 0.000)
Be (0.706, 0.206, 0.500)
Sb (0.473, 0.473, 0.000)
Au (0.243, 0.743, 0.500)

Calculated values
- Fermi-level density of states: 1.4 states/eV per cell
- Energy: -13.8 eV per cell

Record 8
A relaxed structure of BeSb2Au2. Source: Alexandria via LeMat-Bulk, functional PBE-GGA.

a = 6.165 Å, b = 6.165 Å, c = 5.663 Å
α = 90.00°, β = 90.00°, γ = 90.00°
Element x y z (fractional)
Sb (0.305, 0.805, 0.500)
Sb (0.805, 0.695, 0.500)
Sb (0.695, 0.195, 0.500)
Sb (0.195, 0.305, 0.500)
Au (0.332, 0.832, 0.000)
Au (0.668, 0.168, 0.000)
Au (0.168, 0.332, 0.000)
Au (0.832, 0.668, 0.000)
Be (0.000, 0.000, 0.000)
Be (0.500, 0.500, 0.000)

Calculated values
- Fermi-level density of states: 4.5 states/eV per cell
- Polymorph energy (0 for the lowest one): 0 meV per atom
- Energy: -35.9 eV per cell

Record 9
A relaxed structure of BeSbAu2. Source: Alexandria via LeMat-Bulk, functional PBE-GGA.

a = 6.858 Å, b = 6.858 Å, c = 6.858 Å
α = 154.67°, β = 147.09°, γ = 41.98°
Element x y z (fractional)
Be (0.523, 0.523, 0.000)
Au (0.668, 0.168, 0.500)
Au (0.992, 0.992, 0.000)
Sb (0.317, 0.817, 0.500)

Calculated values
- Fermi-level density of states: 1.3 states/eV per cell
- Polymorph energy (0 for the lowest one): 33 meV per atom
- Energy: -14.3 eV per cell

Record 10
A relaxed structure of Be2SbAu. Source: Alexandria via LeMat-Bulk, functional PBE-GGA.

a = 5.277 Å, b = 5.277 Å, c = 6.931 Å
α = 67.62°, β = 67.62°, γ = 90.00°
Element x y z (fractional)
Be (0.375, 0.357, 0.750)
Be (0.643, 0.125, 0.250)
Be (0.875, 0.893, 0.750)
Be (0.107, 0.625, 0.250)
Sb (0.500, 0.500, 0.000)
Sb (0.250, 0.750, 0.500)
Au (0.000, 0.000, 0.000)
Au (0.750, 0.250, 0.500)

Calculated values
- Fermi-level density of states: 0.0 states/eV per cell
- Energy: -27.4 eV per cell

Record 11
A relaxed structure of Be2SbAu. Source: Alexandria via LeMat-Bulk, functional PBE-GGA.

a = 4.236 Å, b = 4.236 Å, c = 4.706 Å
α = 80.79°, β = 80.79°, γ = 53.29°
Element x y z (fractional)
Be (0.722, 0.722, 0.884)
Be (0.012, 0.012, 0.921)
Sb (0.506, 0.506, 0.543)
Au (0.260, 0.260, 0.153)

Calculated values
- Fermi-level density of states: 0.9 states/eV per cell
- Energy: -14.1 eV per cell

Record 12
A relaxed structure of Be2SbAu. Source: Alexandria via LeMat-Bulk, functional PBE-GGA.

a = 6.067 Å, b = 4.168 Å, c = 4.016 Å
α = 76.15°, β = 70.55°, γ = 124.57°
Element x y z (fractional)
Be (0.500, 0.000, 0.500)
Be (0.000, 0.000, 0.000)
Sb (0.000, 0.500, 0.500)
Au (0.500, 0.500, 0.000)

Calculated values
- Fermi-level density of states: 0.9 states/eV per cell
- Energy: -13.4 eV per cell

Record 13
A relaxed structure of Be2SbAu. Source: Alexandria via LeMat-Bulk, functional PBE-GGA.

a = 3.817 Å, b = 3.151 Å, c = 5.907 Å
α = 74.68°, β = 90.00°, γ = 90.00°
Element x y z (fractional)
Sb (0.000, 0.218, 0.444)
Au (0.500, 0.016, 0.839)
Be (0.000, 0.896, 0.082)
Be (0.500, 0.369, 0.136)

Calculated values
- Fermi-level density of states: 0.8 states/eV per cell
- Energy: -14.3 eV per cell

Record 14
A relaxed structure of BeSbAu2. Source: Alexandria via LeMat-Bulk, functional PBE-GGA.

a = 4.715 Å, b = 4.715 Å, c = 4.715 Å
α = 60.00°, β = 60.00°, γ = 60.00°
Element x y z (fractional)
Sb (0.500, 0.500, 0.500)
Au (0.250, 0.250, 0.250)
Au (0.750, 0.750, 0.750)
Be (0.000, 0.000, 0.000)

Calculated values
- Fermi-level density of states: 3.3 states/eV per cell
- Polymorph energy (0 for the lowest one): 383 meV per atom
- Energy: -12.9 eV per cell

Record 15
A relaxed structure of BeSbAu2. Source: Alexandria via LeMat-Bulk, functional PBE-GGA.

a = 4.190 Å, b = 4.190 Å, c = 6.263 Å
α = 76.97°, β = 76.97°, γ = 44.56°
Element x y z (fractional)
Sb (0.250, 0.250, 0.250)
Au (0.464, 0.464, 0.568)
Au (0.036, 0.036, 0.932)
Be (0.750, 0.750, 0.750)

Calculated values
- Fermi-level density of states: 1.1 states/eV per cell
- Polymorph energy (0 for the lowest one): 42 meV per atom
- Energy: -14.3 eV per cell

Record 16
A relaxed structure of BeSbAu2. Source: Alexandria via LeMat-Bulk, functional PBE-GGA.

a = 4.111 Å, b = 4.591 Å, c = 4.257 Å
α = 79.97°, β = 90.00°, γ = 90.00°
Element x y z (fractional)
Au (0.000, 0.018, 0.061)
Au (0.500, 0.275, 0.399)
Sb (0.500, 0.702, 0.803)
Be (0.000, 0.505, 0.237)

Calculated values
- Fermi-level density of states: 1.6 states/eV per cell
- Polymorph energy (0 for the lowest one): 105 meV per atom
- Energy: -14.0 eV per cell

Record 17
A relaxed structure of BeSbAu2. Source: Alexandria via LeMat-Bulk, functional PBE-GGA.

a = 5.253 Å, b = 5.253 Å, c = 5.253 Å
α = 134.42°, β = 134.42°, γ = 66.43°
Element x y z (fractional)
Be (0.250, 0.750, 0.500)
Au (0.500, 0.500, 0.000)
Au (0.000, 0.000, 0.000)
Sb (0.750, 0.250, 0.500)

Calculated values
- Fermi-level density of states: 0.7 states/eV per cell
- Polymorph energy (0 for the lowest one): 291 meV per atom
- Energy: -13.3 eV per cell

Record 18
A relaxed structure of BeSb2Au2. Source: Alexandria via LeMat-Bulk, functional PBE-GGA.

a = 3.778 Å, b = 3.778 Å, c = 8.283 Å
α = 76.82°, β = 76.82°, γ = 90.00°
Element x y z (fractional)
Sb (0.596, 0.596, 0.807)
Sb (0.404, 0.404, 0.193)
Be (0.000, 0.000, 0.000)
Au (0.750, 0.250, 0.500)
Au (0.250, 0.750, 0.500)

Calculated values
- Fermi-level density of states: 2.6 states/eV per cell
- Polymorph energy (0 for the lowest one): 338 meV per atom
- Energy: -16.3 eV per cell

Record 19
A relaxed structure of Be2SbAu. Source: Alexandria via LeMat-Bulk, functional PBE-GGA.

a = 4.580 Å, b = 4.580 Å, c = 4.580 Å
α = 60.00°, β = 60.00°, γ = 60.00°
Element x y z (fractional)
Sb (0.750, 0.750, 0.750)
Au (0.500, 0.500, 0.500)
Be (0.250, 0.250, 0.250)
Be (0.000, 0.000, 0.000)

Calculated values
- Fermi-level density of states: 2.6 states/eV per cell
- Energy: -12.1 eV per cell

Record 20
A relaxed structure of Be2SbAu. Source: Alexandria via LeMat-Bulk, functional PBE-GGA.

a = 5.657 Å, b = 5.657 Å, c = 5.657 Å
α = 142.98°, β = 142.98°, γ = 53.36°
Element x y z (fractional)
Sb (0.500, 0.500, 0.000)
Au (0.750, 0.250, 0.500)
Be (0.000, 0.000, 0.000)
Be (0.250, 0.750, 0.500)

Calculated values
- Fermi-level density of states: 0.9 states/eV per cell
- Energy: -13.1 eV per cell

Record 21
A relaxed structure of BeSbAu2Se. Source: Alexandria via LeMat-Bulk, functional PBE-GGA.

a = 5.281 Å, b = 4.501 Å, c = 5.281 Å
α = 90.00°, β = 90.00°, γ = 90.00°
Element x y z (fractional)
Au (0.000, 0.000, 0.500)
Au (0.500, 0.000, 0.000)
Sb (0.000, 0.000, 0.000)
Be (0.000, 0.500, 0.000)
Se (0.500, 0.500, 0.500)

Calculated values
- Fermi-level density of states: 4.0 states/eV per cell
- Energy: -14.3 eV per cell

Record 22
A relaxed structure of Be2SnSbAu. Source: Alexandria via LeMat-Bulk, functional PBE-GGA.

a = 4.471 Å, b = 6.302 Å, c = 4.471 Å
α = 90.00°, β = 90.00°, γ = 90.00°
Element x y z (fractional)
Be (0.500, 0.000, 0.000)
Be (0.000, 0.000, 0.500)
Au (0.500, 0.500, 0.500)
Sb (0.000, 0.000, 0.000)
Sn (0.000, 0.500, 0.000)

Calculated values
- Fermi-level density of states: 4.1 states/eV per cell
- Energy: -14.2 eV per cell

Record 23
A relaxed structure of Sr2BeSbAu6. Source: Alexandria via LeMat-Bulk, functional PBE-GGA.

a = 7.027 Å, b = 7.030 Å, c = 7.011 Å
α = 59.95°, β = 59.97°, γ = 89.91°
Element x y z (fractional)
Au (0.727, 0.726, 0.000)
Au (0.273, 0.273, 0.453)
Au (0.274, 0.726, 0.000)
Au (0.726, 0.274, 0.000)
Au (0.273, 0.274, 0.000)
Au (0.727, 0.727, 0.547)
Be (0.500, 0.500, 0.000)
Sb (0.000, 0.000, 0.000)
Sr (0.750, 0.250, 0.500)
Sr (0.250, 0.750, 0.500)

Calculated values
- Fermi-level density of states: 3.4 states/eV per cell
- Energy: -35.2 eV per cell

Record 24
A relaxed structure of BeSb2TeAu. Source: Alexandria via LeMat-Bulk, functional PBE-GGA.

a = 5.381 Å, b = 5.381 Å, c = 5.484 Å
α = 90.00°, β = 90.00°, γ = 90.00°
Element x y z (fractional)
Sb (0.000, 0.500, 0.000)
Sb (0.500, 0.000, 0.000)
Te (0.000, 0.000, 0.500)
Au (0.000, 0.000, 0.000)
Be (0.500, 0.500, 0.500)

Calculated values
- Fermi-level density of states: 5.7 states/eV per cell
- Polymorph energy (0 for the lowest one): 545 meV per atom
- Energy: -13.0 eV per cell

Record 25
A relaxed structure of BeSbTeAu2. Source: Alexandria via LeMat-Bulk, functional PBE-GGA.

a = 5.098 Å, b = 5.098 Å, c = 6.209 Å
α = 90.00°, β = 90.00°, γ = 90.00°
Element x y z (fractional)
Be (0.500, 0.500, 0.500)
Au (0.000, 0.500, 0.000)
Au (0.500, 0.000, 0.000)
Te (0.000, 0.000, 0.500)
Sb (0.000, 0.000, 0.000)

Calculated values
- Fermi-level density of states: 2.5 states/eV per cell
- Energy: -13.0 eV per cell

Record 26
A relaxed structure of BeSb2TeAu. Source: Alexandria via LeMat-Bulk, functional PBE-GGA.

a = 4.879 Å, b = 4.879 Å, c = 5.011 Å
α = 90.00°, β = 90.00°, γ = 90.00°
Element x y z (fractional)
Be (0.000, 0.000, 0.000)
Sb (0.000, 0.500, 0.000)
Sb (0.500, 0.000, 0.000)
Au (0.500, 0.500, 0.500)
Te (0.000, 0.000, 0.500)

Calculated values
- Fermi-level density of states: 3.2 states/eV per cell
- Polymorph energy (0 for the lowest one): 0 meV per atom
- Energy: -15.7 eV per cell

Record 27
A relaxed structure of ScBeAu2. Source: Alexandria via LeMat-Bulk, functional PBE-GGA.

a = 4.746 Å, b = 4.746 Å, c = 4.751 Å
α = 58.69°, β = 58.69°, γ = 50.29°
Element x y z (fractional)
Au (0.465, 0.465, 0.528)
Au (0.035, 0.035, 0.972)
Be (0.750, 0.750, 0.750)
Sc (0.250, 0.250, 0.250)

Calculated values
- Fermi-level density of states: 1.6 states/eV per cell
- Polymorph energy (0 for the lowest one): 0 meV per atom
- Energy: -18.3 eV per cell

Record 28
A relaxed structure of ScBeAu2. Source: Alexandria via LeMat-Bulk, functional PBE-GGA.

a = 4.832 Å, b = 4.832 Å, c = 7.944 Å
α = 72.29°, β = 72.29°, γ = 90.00°
Element x y z (fractional)
Au (0.375, 0.467, 0.750)
Au (0.875, 0.783, 0.750)
Au (0.217, 0.625, 0.250)
Au (0.533, 0.125, 0.250)
Be (0.500, 0.500, 0.000)
Be (0.250, 0.750, 0.500)
Sc (0.000, 0.000, 0.000)
Sc (0.750, 0.250, 0.500)

Calculated values
- Fermi-level density of states: 4.0 states/eV per cell
- Polymorph energy (0 for the lowest one): 337 meV per atom
- Energy: -34.0 eV per cell

Record 29
A relaxed structure of ScBeAu2. Source: Alexandria via LeMat-Bulk, functional PBE-GGA.

a = 4.989 Å, b = 4.989 Å, c = 4.989 Å
α = 136.87°, β = 126.09°, γ = 71.41°
Element x y z (fractional)
Sc (0.265, 0.765, 0.500)
Au (0.711, 0.211, 0.500)
Au (0.990, 0.990, 0.000)
Be (0.534, 0.534, 0.000)

Calculated values
- Fermi-level density of states: 2.1 states/eV per cell
- Polymorph energy (0 for the lowest one): 62 meV per atom
- Energy: -18.1 eV per cell